Here is a relaxed structure of SmErHgIr from the Alexandria database. Energies are from PBE.

Cell lengths 5.0697, 5.0697, 5.0697 Å; angles 60.00, 60.00, 60.00 degrees
Sites, in units of the cell vectors:
Sm 0.0000 0.0000 0.0000
Er 0.5000 0.5000 0.5000
Hg 0.7500 0.7500 0.7500
Ir 0.2500 0.2500 0.2500

## Properties
Crystal system   cubic
VASP energy   -5.199 eV/atom
Space group   F-43m, No. 216
Magnetic moment   0.0 μB per formula unit